VASP calculation (PBE-GGA) on a geometry-optimized RbCdBr3 structure.

a b c (Å): 9.6412 4.3176 16.0663
angles (deg): 90.00 90.00 90.00
Space group Pnma (No. 62)
Unique sites:
Rb 0.0657 0.2500 0.1754 x4
Cd 0.1650 0.7500 0.4453 x4
Br 0.0256 0.7500 0.5991 x4
Br 0.1689 0.7500 0.0055 x4
Br 0.2205 0.2500 0.7928 x4

Properties
- uncorrected formation energy (eV/f.u.) = -6.15
- mass density (g cm⁻³) = 4.346